## PmSm2Tm (PBE)

Data for a geometry-optimized PmSm2Tm structure.

Cell lengths 3.6001, 3.6001, 35.1466 Å; angles 90.00, 90.00, 120.00 degrees
With the nearest neighbours (Å) after each atom.
Space group R-3m (No. 166, hexagonal axes)
Unique sites:
1 Pm 0.0000 0.0000 0.0000 [3 per cell]  6 Pm 3.60, 6 Sm 3.64
2 Sm 0.0000 0.0000 0.2484 [6 per cell]  3 Tm 3.55, 6 Sm 3.60, 3 Pm 3.64
3 Tm 0.0000 0.0000 0.5000 [3 per cell]  6 Sm 3.55, 6 Tm 3.60

Summary:
D(E_F) ... 15.2 states/eV/cell
Offset from the most stable computed form ... 0.001 eV/atom
Calculated formation energy ... 19 meV per atom